Computed, not measured: a relaxed TbInAg3 crystal at the PBE level of DFT.

The structure in CIF format:
```
data_TbInAg3
_chemical_formula_sum 'Tb2 In2 Ag6'
_cell_length_a 4.867
_cell_length_b 6.471
_cell_length_c 6.907
_cell_angle_alpha 90.00
_cell_angle_beta 90.00
_cell_angle_gamma 90.00
_symmetry_space_group_name_H-M 'P 1'
_symmetry_Int_Tables_number 1
loop_
_symmetry_equiv_pos_as_xyz
'x,y,z'
loop_
_atom_site_label
_atom_site_type_symbol
_atom_site_fract_x
_atom_site_fract_y
_atom_site_fract_z
Tb1 Tb 0.250 0.250 0.214
Tb2 Tb 0.750 0.750 0.786
In1 In 0.250 0.750 0.448
In2 In 0.750 0.250 0.552
Ag1 Ag 0.250 0.041 0.752
Ag2 Ag 0.250 0.459 0.752
Ag3 Ag 0.250 0.750 0.056
Ag4 Ag 0.750 0.250 0.944
Ag5 Ag 0.750 0.541 0.248
Ag6 Ag 0.750 0.959 0.248
```

Output
Energy of formation from the pure elements in eV/atom: -0.205
Raw total energy in eV per cell: -33.90

Computed, not measured: a relaxed Tb2In3Ag crystal at the PBE level of DFT.

The structure in CIF format:
```
data_Tb2In3Ag
_chemical_formula_sum 'Tb2 In3 Ag1'
_cell_length_a 3.578
_cell_length_b 4.902
_cell_length_c 8.497
_cell_angle_alpha 90.00
_cell_angle_beta 90.00
_cell_angle_gamma 90.00
_symmetry_space_group_name_H-M 'P 1'
_symmetry_Int_Tables_number 1
loop_
_symmetry_equiv_pos_as_xyz
'x,y,z'
loop_
_atom_site_label
_atom_site_type_symbol
_atom_site_fract_x
_atom_site_fract_y
_atom_site_fract_z
Tb1 Tb 0.000 0.000 0.000
Tb2 Tb 0.000 0.500 0.496
In1 In 0.500 0.000 0.653
In2 In 0.500 0.500 0.173
In3 In 0.500 0.500 0.834
Ag1 Ag 0.500 0.000 0.326
```

Output
Energy of formation from the pure elements in eV/atom: -0.425
ΔE to the lowest computed polymorph in eV/atom: 0.000
Raw total energy in eV per cell: -22.88

Computed, not measured: a relaxed Tb3In2Ag2 crystal at the PBE level of DFT.

The structure in CIF format:
```
data_Tb3In2Ag2
_chemical_formula_sum 'Tb3 In2 Ag2'
_cell_length_a 11.157
_cell_length_b 11.157
_cell_length_c 3.489
_cell_angle_alpha 90.00
_cell_angle_beta 90.00
_cell_angle_gamma 156.36
_symmetry_space_group_name_H-M 'P 1'
_symmetry_Int_Tables_number 1
loop_
_symmetry_equiv_pos_as_xyz
'x,y,z'
loop_
_atom_site_label
_atom_site_type_symbol
_atom_site_fract_x
_atom_site_fract_y
_atom_site_fract_z
Tb1 Tb 0.000 0.000 0.000
Tb2 Tb 0.160 0.840 0.000
Tb3 Tb 0.840 0.160 0.000
In1 In 0.422 0.578 0.500
In2 In 0.578 0.422 0.500
Ag1 Ag 0.286 0.714 0.500
Ag2 Ag 0.714 0.286 0.500
```

Output
Energy of formation from the pure elements in eV/atom: -0.388
Raw total energy in eV per cell: -27.78

Computed, not measured: a relaxed Tb2InAgTe4 crystal at the PBE level of DFT.

The structure in CIF format:
```
data_Tb2InAgTe4
_chemical_formula_sum 'Tb4 In2 Ag2 Te8'
_cell_length_a 7.765
_cell_length_b 7.765
_cell_length_c 15.668
_cell_angle_alpha 90.00
_cell_angle_beta 90.00
_cell_angle_gamma 146.94
_symmetry_space_group_name_H-M 'P 1'
_symmetry_Int_Tables_number 1
loop_
_symmetry_equiv_pos_as_xyz
'x,y,z'
loop_
_atom_site_label
_atom_site_type_symbol
_atom_site_fract_x
_atom_site_fract_y
_atom_site_fract_z
Tb1 Tb 0.131 0.869 0.571
Tb2 Tb 0.131 0.869 0.929
Tb3 Tb 0.869 0.131 0.071
Tb4 Tb 0.869 0.131 0.429
In1 In 0.371 0.629 0.750
In2 In 0.629 0.371 0.250
Ag1 Ag 0.344 0.656 0.250
Ag2 Ag 0.656 0.344 0.750
Te1 Te 0.041 0.959 0.750
Te2 Te 0.228 0.772 0.108
Te3 Te 0.228 0.772 0.392
Te4 Te 0.500 0.500 0.000
Te5 Te 0.500 0.500 0.500
Te6 Te 0.772 0.228 0.608
Te7 Te 0.772 0.228 0.892
Te8 Te 0.959 0.041 0.250
```

Output
ΔE_f (raw) in eV/atom: -0.930
Raw total energy in eV per cell: -69.71

Computed, not measured: a relaxed TbTlInAg crystal at the PBE level of DFT.

The structure in CIF format:
```
data_TbTlInAg
_chemical_formula_sum 'Tb1 Tl1 In1 Ag1'
_cell_length_a 5.155
_cell_length_b 5.155
_cell_length_c 5.155
_cell_angle_alpha 60.00
_cell_angle_beta 60.00
_cell_angle_gamma 60.00
_symmetry_space_group_name_H-M 'P 1'
_symmetry_Int_Tables_number 1
loop_
_symmetry_equiv_pos_as_xyz
'x,y,z'
loop_
_atom_site_label
_atom_site_type_symbol
_atom_site_fract_x
_atom_site_fract_y
_atom_site_fract_z
Tb1 Tb 0.000 0.000 0.000
Tl1 Tl 0.250 0.250 0.250
In1 In 0.500 0.500 0.500
Ag1 Ag 0.750 0.750 0.750
```

Output
Energy of formation from the pure elements in eV/atom: -0.216
Raw total energy in eV per cell: -13.45

Computed, not measured: a relaxed Tb4TlIn2Ag crystal at the PBE level of DFT.

The structure in CIF format:
```
data_Tb4TlIn2Ag
_chemical_formula_sum 'Tb4 Tl1 In2 Ag1'
_cell_length_a 9.247
_cell_length_b 9.247
_cell_length_c 9.247
_cell_angle_alpha 33.38
_cell_angle_beta 33.38
_cell_angle_gamma 33.38
_symmetry_space_group_name_H-M 'P 1'
_symmetry_Int_Tables_number 1
loop_
_symmetry_equiv_pos_as_xyz
'x,y,z'
loop_
_atom_site_label
_atom_site_type_symbol
_atom_site_fract_x
_atom_site_fract_y
_atom_site_fract_z
Tb1 Tb 0.122 0.122 0.122
Tb2 Tb 0.373 0.373 0.373
Tb3 Tb 0.627 0.627 0.627
Tb4 Tb 0.878 0.878 0.878
Tl1 Tl 0.500 0.500 0.500
In1 In 0.251 0.251 0.251
In2 In 0.749 0.749 0.749
Ag1 Ag 0.000 0.000 0.000
```

Output
Energy of formation from the pure elements in eV/atom: -0.392
Raw total energy in eV per cell: -32.35

Computed, not measured: a relaxed TbTmInAg crystal at the PBE level of DFT.

The structure in CIF format:
```
data_TbTmInAg
_chemical_formula_sum 'Tb1 Tm1 In1 Ag1'
_cell_length_a 5.229
_cell_length_b 5.229
_cell_length_c 5.229
_cell_angle_alpha 60.00
_cell_angle_beta 60.00
_cell_angle_gamma 60.00
_symmetry_space_group_name_H-M 'P 1'
_symmetry_Int_Tables_number 1
loop_
_symmetry_equiv_pos_as_xyz
'x,y,z'
loop_
_atom_site_label
_atom_site_type_symbol
_atom_site_fract_x
_atom_site_fract_y
_atom_site_fract_z
Tb1 Tb 0.000 0.000 0.000
Tm1 Tm 0.500 0.500 0.500
In1 In 0.250 0.250 0.250
Ag1 Ag 0.750 0.750 0.750
```

Output
Energy of formation from the pure elements in eV/atom: -0.395
Raw total energy in eV per cell: -16.27

Computed, not measured: a relaxed Tb2YIn2Ag2 crystal at the PBE level of DFT.

The structure in CIF format:
```
data_Tb2YIn2Ag2
_chemical_formula_sum 'Tb2 Y1 In2 Ag2'
_cell_length_a 9.378
_cell_length_b 9.378
_cell_length_c 9.378
_cell_angle_alpha 29.92
_cell_angle_beta 29.92
_cell_angle_gamma 29.92
_symmetry_space_group_name_H-M 'P 1'
_symmetry_Int_Tables_number 1
loop_
_symmetry_equiv_pos_as_xyz
'x,y,z'
loop_
_atom_site_label
_atom_site_type_symbol
_atom_site_fract_x
_atom_site_fract_y
_atom_site_fract_z
Tb1 Tb 0.126 0.126 0.126
Tb2 Tb 0.874 0.874 0.874
Y1 Y 0.000 0.000 0.000
In1 In 0.260 0.260 0.260
In2 In 0.740 0.740 0.740
Ag1 Ag 0.396 0.396 0.396
Ag2 Ag 0.604 0.604 0.604
```

Output
Energy of formation from the pure elements in eV/atom: -0.288
Raw total energy in eV per cell: -28.92

Computed, not measured: a relaxed TbY2In2Ag2 crystal at the PBE level of DFT.

The structure in CIF format:
```
data_TbY2In2Ag2
_chemical_formula_sum 'Tb1 Y2 In2 Ag2'
_cell_length_a 9.423
_cell_length_b 9.423
_cell_length_c 9.423
_cell_angle_alpha 29.75
_cell_angle_beta 29.75
_cell_angle_gamma 29.75
_symmetry_space_group_name_H-M 'P 1'
_symmetry_Int_Tables_number 1
loop_
_symmetry_equiv_pos_as_xyz
'x,y,z'
loop_
_atom_site_label
_atom_site_type_symbol
_atom_site_fract_x
_atom_site_fract_y
_atom_site_fract_z
Tb1 Tb 0.000 0.000 0.000
Y1 Y 0.126 0.126 0.126
Y2 Y 0.874 0.874 0.874
In1 In 0.260 0.260 0.260
In2 In 0.740 0.740 0.740
Ag1 Ag 0.397 0.397 0.397
Ag2 Ag 0.603 0.603 0.603
```

Output
Energy of formation from the pure elements in eV/atom: -0.293
Raw total energy in eV per cell: -30.79

Computed, not measured: a relaxed TbZrInAg crystal at the PBE level of DFT.

The structure in CIF format:
```
data_TbZrInAg
_chemical_formula_sum 'Tb1 Zr1 In1 Ag1'
_cell_length_a 5.109
_cell_length_b 5.109
_cell_length_c 5.109
_cell_angle_alpha 60.00
_cell_angle_beta 60.00
_cell_angle_gamma 60.00
_symmetry_space_group_name_H-M 'P 1'
_symmetry_Int_Tables_number 1
loop_
_symmetry_equiv_pos_as_xyz
'x,y,z'
loop_
_atom_site_label
_atom_site_type_symbol
_atom_site_fract_x
_atom_site_fract_y
_atom_site_fract_z
Tb1 Tb 0.000 0.000 0.000
Zr1 Zr 0.500 0.500 0.500
In1 In 0.750 0.750 0.750
Ag1 Ag 0.250 0.250 0.250
```

Output
Energy of formation from the pure elements in eV/atom: -0.209
Raw total energy in eV per cell: -19.61

Computed, not measured: a relaxed InTcAg2 crystal at the PBE level of DFT.

The structure in CIF format:
```
data_InTcAg2
_chemical_formula_sum 'In1 Tc1 Ag2'
_cell_length_a 5.300
_cell_length_b 5.300
_cell_length_c 2.810
_cell_angle_alpha 90.00
_cell_angle_beta 90.00
_cell_angle_gamma 115.78
_symmetry_space_group_name_H-M 'P 1'
_symmetry_Int_Tables_number 1
loop_
_symmetry_equiv_pos_as_xyz
'x,y,z'
loop_
_atom_site_label
_atom_site_type_symbol
_atom_site_fract_x
_atom_site_fract_y
_atom_site_fract_z
In1 In 0.000 0.000 0.000
Tc1 Tc 0.500 0.500 0.000
Ag1 Ag 0.000 0.500 0.500
Ag2 Ag 0.500 0.000 0.500
```

Output
Energy of formation from the pure elements in eV/atom: 0.380
Raw total energy in eV per cell: -17.29

Computed, not measured: a relaxed InTcAg2 crystal at the PBE level of DFT.

The structure in CIF format:
```
data_InTcAg2
_chemical_formula_sum 'In1 Tc1 Ag2'
_cell_length_a 9.906
_cell_length_b 9.906
_cell_length_c 9.906
_cell_angle_alpha 16.94
_cell_angle_beta 16.94
_cell_angle_gamma 16.94
_symmetry_space_group_name_H-M 'P 1'
_symmetry_Int_Tables_number 1
loop_
_symmetry_equiv_pos_as_xyz
'x,y,z'
loop_
_atom_site_label
_atom_site_type_symbol
_atom_site_fract_x
_atom_site_fract_y
_atom_site_fract_z
In1 In 0.000 0.000 0.000
Tc1 Tc 0.500 0.500 0.500
Ag1 Ag 0.246 0.246 0.246
Ag2 Ag 0.754 0.754 0.754
```

Output
Energy of formation from the pure elements in eV/atom: 0.465
Raw total energy in eV per cell: -16.95

Q: Which formula does entry 9 have?
A: TbY2In2Ag2